Entry from Alexandria: crystalline MgAsIr2 at its relaxed geometry (GGA-PBE).

a = 4.478 Å, b = 4.478 Å, c = 4.478 Å
α = 60.00°, β = 60.00°, γ = 60.00°
Element x y z (fractional)
Mg1 0.000 0.000 0.000
As1 0.250 0.250 0.250
Ir1 0.500 0.500 0.500
Ir2 0.750 0.750 0.750

Calculated formation energy   0.155 eV/atom
Energy relative to the lowest polymorph listed for this composition   0.3437 eV per atom
M_tot   0.00 μB/f.u.
Crystal system   cubic